(1)
The following is a PBE calculation of a relaxed structure of Sm3Ho6Er2Zr, from Alexandria via LeMat-Bulk.

For the total DFT energy (no corrections), the calculation gives -4.899 eV per atom. The energy of formation is 0.04 eV per atom.

It has space group C2/m (No. 12), with a = 6.0954 Å, b = 10.5415 Å, c = 11.6260 Å, α = 90.00°, β = 100.00° and γ = 90.00°. The inequivalent atoms are Sm at (0.0000, 0.0000, 0.0000), Sm at (0.0000, 0.3337, 0.0000), Ho at (0.2440, 0.3366, 0.7420), Ho at (0.2460, 0.5000, 0.2583), Er at (0.0000, 0.1668, 0.5000) and Zr at (0.0000, 0.5000, 0.5000).

(2)
The following is a PBE calculation of a relaxed structure of Pr2Sm4P3N2, from Alexandria via LeMat-Bulk.

For the total DFT energy (no corrections), the calculation gives -6.788 eV per atom. The calculation puts the formation energy without anion corrections at -1.214 eV per atom.

It has space group I4/mmm (No. 139), with a = 4.6188 Å, b = 4.6188 Å, c = 24.0090 Å, α = 90.00°, β = 90.00° and γ = 90.00°. The inequivalent atoms are Pr at (0.0000, 0.0000, 0.1980), Sm at (0.0000, 0.5000, 0.0783), P at (0.0000, 0.0000, 0.3263), P at (0.0000, 0.0000, 0.5000) and N at (0.0000, 0.0000, 0.1002).

(3)
The following is a PBE calculation of a relaxed structure of TlPdF3, from Alexandria via LeMat-Bulk.

For the total DFT energy (no corrections), the calculation gives -3.916 eV per atom. Its offset from the most stable computed form is 159 meV/atom. The calculation puts the formation energy without anion corrections at -1.281 eV per atom.

It has space group Amm2 (No. 38), with a = 3.4327 Å, b = 7.6520 Å, c = 6.7657 Å, α = 90.00°, β = 90.00° and γ = 90.00°. The inequivalent atoms are Tl at (0.0000, 0.0000, 0.0000), Pd at (0.5000, 0.0000, 0.5928), F at (0.0000, 0.1675, 0.5864) and F at (0.5000, 0.0000, 0.2447).

(4)
The following is a PBE calculation of a relaxed structure of NiHgN2, from Alexandria via LeMat-Bulk.

For the total DFT energy (no corrections), the calculation gives -4.908 eV per atom. The calculation puts the formation energy without anion corrections at 0.775 eV per atom.

It has space group R-3m (No. 166, hexagonal axes), with a = 3.0194 Å, b = 3.0194 Å, c = 18.1579 Å, α = 90.00°, β = 90.00° and γ = 120.00°. The inequivalent atoms are Ni at (0.0000, 0.0000, 0.0000), Hg at (0.0000, 0.0000, 0.5000) and N at (0.0000, 0.0000, 0.3827).

(5)
The following is a PBE calculation of a relaxed structure of PRuCl2O, from Alexandria via LeMat-Bulk.

For the total DFT energy (no corrections), the calculation gives -3.583 eV per atom. Its offset from the most stable computed form is 422 meV/atom. The calculation puts the formation energy without anion corrections at 1.084 eV per atom.

It has space group P4/mmm (No. 123), with a = 4.4330 Å, b = 4.4330 Å, c = 4.0962 Å, α = 90.00°, β = 90.00° and γ = 90.00°. The inequivalent atoms are P at (0.0000, 0.0000, 0.0000), Ru at (0.5000, 0.5000, 0.0000), Cl at (0.0000, 0.5000, 0.5000) and O at (0.0000, 0.0000, 0.5000).

(6)
The following is a PBE calculation of a relaxed structure of CeEu2Y, from Alexandria via LeMat-Bulk.

For the total DFT energy (no corrections), the calculation gives -8.008 eV per atom. The energy of formation is 0.23 eV per atom. Its offset from the most stable computed form is 40 meV/atom.

It has space group Fm-3m (No. 225), with a = 8.3306 Å, b = 8.3306 Å, c = 8.3306 Å, α = 90.00°, β = 90.00° and γ = 90.00°. The inequivalent atoms are Ce at (0.0000, 0.0000, 0.0000), Eu at (0.2500, 0.2500, 0.2500) and Y at (0.0000, 0.0000, 0.5000).

(7)
The following is a PBE calculation of a relaxed structure of Ho5Bi4P, from Alexandria via LeMat-Bulk.

For the total DFT energy (no corrections), the calculation gives -5.326 eV per atom. The energy of formation is -0.94 eV per atom.

It has space group I4 (No. 79), with a = 9.7530 Å, b = 9.7530 Å, c = 6.2014 Å, α = 90.00°, β = 90.00° and γ = 90.00°. The inequivalent atoms are Ho at (0.0000, 0.0000, 0.0000), Ho at (0.0971, 0.2762, 0.4994), Bi at (0.0915, 0.3046, 0.9995) and P at (0.0000, 0.0000, 0.4991).

(8)
The following is a PBE calculation of a relaxed structure of BaPr2Th, from Alexandria via LeMat-Bulk.

For the total DFT energy (no corrections), the calculation gives -4.634 eV per atom. The energy of formation is 0.09 eV per atom. Its offset from the most stable computed form is 0 meV/atom.

It has space group P4/mmm (No. 123), with a = 3.7375 Å, b = 3.7375 Å, c = 11.2905 Å, α = 90.00°, β = 90.00° and γ = 90.00°. The inequivalent atoms are Ba at (0.0000, 0.0000, 0.0000), Pr at (0.5000, 0.5000, 0.2877) and Th at (0.0000, 0.0000, 0.5000).

> Which of these has the highest total DFT energy (no corrections)?

PRuCl2O